# 1
Density functional theory data (PBE-GGA) for crystalline MnMoPb at its relaxed geometry.

Lattice parameters (Å, degrees): 5.9635 5.9635 5.9635 149.57 149.57 43.57
Site moments in Bohr magnetons follow the coordinates.
Element x y z (fractional)
Pb (0.6626, 0.6626, 0.0000)  0.01
Mn (0.9749, 0.9749, 0.0000)  2.13
Mo (0.3625, 0.3625, 0.0000)  -0.83

Energy above the most stable polymorph in this dataset ... 0.0000 eV per atom
DFT formation energy ... 1.63 eV/f.u.
Total energy ... -7.358 eV per atom
Spin magnetization ... 1.3 Bohr magnetons per cell



# 2
Density functional theory data (PBE-GGA) for crystalline Ce8Si2Sb at its relaxed geometry.

Lattice parameters (Å, degrees): 5.5582 7.8350 7.8350 115.74 98.63 98.63
Site moments in Bohr magnetons follow the coordinates.
Element x y z (fractional)
Sb (0.5000, 0.0000, 0.0000)  -0.01
Ce (0.5000, 0.2440, 0.7560)  0.77
Si (0.0000, 0.6883, 0.3117)  -0.01
Ce (0.0754, 0.2875, 0.0705)  0.46
Ce (0.0754, 0.0705, 0.2875)  0.46
Ce (0.6735, 0.4099, 0.4099)  0.57
Ce (0.9246, 0.9295, 0.7125)  0.46
Ce (0.9246, 0.7125, 0.9295)  0.46
Ce (0.5000, 0.7560, 0.2440)  0.77
Si (0.0000, 0.3117, 0.6883)  -0.01
Ce (0.3265, 0.5901, 0.5901)  0.57

Total energy ... -6.041 eV per atom
Uncorrected formation energy ... -0.36 eV/atom
Spin magnetization ... 5.8 Bohr magnetons per cell



- What is the spin magnetization in the second record?
  5.8 Bohr magnetons per cell